This record from the Alexandria database describes a crystal of Be2Al2H relaxed with PBEsol. The functional is meta-GGA SCAN.

```
10
Lattice="2.6426 0.0000 0.0000 0.0000 6.7271 0.0000 0.0000 0.0000 6.7271" Properties=species:S:1:pos:R:3 pbc="T T T"
H 0.0000 0.0000 0.0000
H 0.0000 3.3635 3.3635
Al 1.3213 4.6420 5.4486
Al 1.3213 5.4486 2.0850
Al 1.3213 2.0850 1.2785
Al 1.3213 1.2785 4.6420
Be 0.0000 6.0038 4.0868
Be 0.0000 0.7233 2.6403
Be 0.0000 4.0868 0.7233
Be 0.0000 2.6403 6.0038
```

Calculated values
energy: -4.943 eV per atom
symmetry: P4/mbm, No. 127

This record from the Alexandria database describes a crystal of ZrBeCrPt2 relaxed with PBEsol. The functional is meta-GGA SCAN.

```
5
Lattice="4.1757 0.0000 0.0000 0.0000 4.1757 0.0000 0.0000 0.0000 4.1769" Properties=species:S:1:pos:R:3 pbc="T T T"
Pt 0.0000 2.0878 0.0000
Pt 2.0878 0.0000 0.0000
Zr 2.0878 2.0878 2.0885
Cr 0.0000 0.0000 2.0885
Be 0.0000 0.0000 0.0000
```

Calculated values
symmetry: P4/mmm, No. 123
energy of formation from the pure elements: -0.472 eV per atom

This record from the Alexandria database describes a crystal of Al2CdIr relaxed with PBEsol. The functional is meta-GGA SCAN.

```
4
Lattice="-1.6680 1.4102 -1.7720 -0.8948 -0.4941 2.6203 3.9550 8.3546 2.9259" Properties=species:S:1:pos:R:3 pbc="T T T"
Al 0.0815 0.1721 0.0603
Al 1.7751 6.9147 2.6854
Cd 1.9051 4.0243 1.4094
Ir -0.3920 2.3369 1.0821
```

Calculated values
symmetry: Cmm2, No. 35
energy of formation from the pure elements: -0.024 eV per atom

This record from the Alexandria database describes a crystal of KMg2In relaxed with PBEsol. The functional is meta-GGA SCAN.

```
4
Lattice="-0.6486 -2.8362 -1.4470 2.7450 1.0569 -3.3021 6.3226 -3.5480 4.1203" Properties=species:S:1:pos:R:3 pbc="T T T"
Mg 5.1600 -2.8956 3.3626
Mg 1.1626 -0.6524 0.7576
K 4.2095 -2.6636 -0.3144
In 1.0482 -0.8897 -2.3746
```

Calculated values
symmetry: Pmmm, No. 47
energy of formation from the pure elements: 0.026 eV per atom

This record from the Alexandria database describes a crystal of MnOsPt2 relaxed with PBEsol. The functional is meta-GGA SCAN.

```
4
Lattice="2.6815 0.0000 0.0000 1.3408 2.3223 0.0000 1.3408 0.7741 8.8080" Properties=species:S:1:pos:R:3 pbc="T T T"
Pt 4.0223 2.3223 0.0473
Pt 4.0223 2.3223 6.4469
Mn 2.6815 1.5482 4.3330
Os 1.3408 0.7741 2.3847
```

Calculated values
symmetry: R3m, No. 160
energy of formation from the pure elements: -0.099 eV per atom

This record from the Alexandria database describes a crystal of SbPtN3 relaxed with PBEsol. The functional is meta-GGA SCAN.

```
5
Lattice="3.9819 0.0000 0.0000 0.0000 3.9819 0.0000 0.0000 0.0000 3.9819" Properties=species:S:1:pos:R:3 pbc="T T T"
N 1.9909 0.0000 0.0000
N 0.0000 1.9909 0.0000
N 0.0000 0.0000 1.9909
Pt 1.9909 1.9909 1.9909
Sb 0.0000 0.0000 0.0000
```

Calculated values
formation energy from raw total energies: 2057 meV per atom
symmetry: Pm-3m, No. 221

This record from the Alexandria database describes a crystal of Tb3FeB7 relaxed with PBEsol. The functional is meta-GGA SCAN.

```
22
Lattice="-2.2256 2.5378 -0.2959 -1.4124 -4.2726 -6.6214 -6.3137 -5.0036 4.5754" Properties=species:S:1:pos:R:3 pbc="T T T"
B -2.8891 -0.2174 0.4654
B -5.6212 -2.7600 -0.7924
B -4.0566 -3.9565 -3.4221
B -7.1151 -3.7488 1.9643
B -8.3723 -4.9402 1.2012
B -5.0061 -1.8611 2.2908
B -1.5794 -1.7982 -3.5431
B -3.0369 -3.3647 -6.0159
B -5.8951 -2.7819 1.0802
B -4.3305 -3.9784 -1.5495
B -2.8366 -2.9897 -4.3062
B -7.0626 -6.5210 -2.8073
B -6.9148 -3.3738 3.6740
B -4.9456 -4.8773 -4.6327
Tb -3.3022 -2.8266 0.5943
Tb -5.9627 -5.2127 0.1413
Tb -6.6495 -3.9118 -2.9362
Tb -9.0406 -5.8067 -1.2034
Tb -0.9111 -0.9317 -1.1384
Tb -3.9890 -1.5258 -2.4832
Fe -4.9408 -2.6580 -5.0348
Fe -5.0109 -4.0804 2.6929
```

Calculated values
symmetry: Cmcm, No. 63
energy of formation from the pure elements: -0.608 eV per atom

This record from the Alexandria database describes a crystal of Li2Hg relaxed with PBEsol. The functional is meta-GGA SCAN.

```
12
Lattice="4.0165 0.0000 0.0000 0.0000 4.0165 0.0000 -2.0083 -2.0083 12.8035" Properties=species:S:1:pos:R:3 pbc="T T T"
Hg 0.0000 2.0083 8.4251
Hg 2.0083 2.0083 10.7801
Hg 0.0000 0.0000 2.0234
Hg 0.0000 2.0083 4.3784
Li 0.0000 2.0083 12.7862
Li 0.0000 0.0000 6.3844
Li 2.0083 2.0083 6.4191
Li 0.0000 2.0083 0.0173
Li 2.0083 2.0083 2.2266
Li 2.0083 0.0000 4.1752
Li 0.0000 0.0000 10.5769
Li 2.0083 0.0000 8.6283
```

Calculated values
symmetry: I4_1/amd, No. 141
energy of formation from the pure elements: -0.393 eV per atom

This record from the Alexandria database describes a crystal of NiRhCN2 relaxed with PBEsol. The functional is meta-GGA SCAN.

```
5
Lattice="3.5198 0.0000 0.0000 0.0000 3.5198 0.0000 0.0000 0.0000 3.5674" Properties=species:S:1:pos:R:3 pbc="T T T"
Rh 1.7599 1.7599 1.7837
Ni 0.0000 0.0000 1.7837
N 1.7599 0.0000 0.0000
N 0.0000 1.7599 0.0000
C 0.0000 0.0000 0.0000
```

Calculated values
formation energy from raw total energies: 2012 meV per atom
symmetry: P4/mmm, No. 123

This record from the Alexandria database describes a crystal of CuAgO2 relaxed with PBEsol. The functional is meta-GGA SCAN.

```
4
Lattice="-2.3456 1.5612 0.3860 0.3184 -0.3309 3.2732 2.9576 4.4046 0.1575" Properties=species:S:1:pos:R:3 pbc="T T T"
Cu 0.4652 2.8175 1.9084
O 2.3283 3.0649 1.7521
O 0.9477 1.0089 1.6786
Ag 0.0000 0.0000 0.0000
```

Calculated values
formation energy from raw total energies: -504 meV per atom
symmetry: Pmmm, No. 47

This record from the Alexandria database describes a crystal of ZnCrGa2Cl relaxed with PBEsol. The functional is meta-GGA SCAN.

```
5
Lattice="4.6456 0.0000 0.0000 0.0000 4.6456 0.0000 0.0000 0.0000 5.0515" Properties=species:S:1:pos:R:3 pbc="T T T"
Ga 2.3228 0.0000 0.0000
Ga 0.0000 2.3228 0.0000
Cr 0.0000 0.0000 2.5257
Cl 2.3228 2.3228 2.5257
Zn 0.0000 0.0000 0.0000
```

Calculated values
formation energy from raw total energies: 245 meV per atom
symmetry: P4/mmm, No. 123

This record from the Alexandria database describes a crystal of ZrAs2Rh relaxed with PBEsol. The functional is meta-GGA SCAN.

```
4
Lattice="3.1959 0.0000 0.0000 0.0000 3.8580 0.0000 0.0000 0.0000 5.5860" Properties=species:S:1:pos:R:3 pbc="T T T"
Rh 1.5980 1.9290 2.7930
Zr 0.0000 1.9290 0.0000
As 1.5980 0.0000 1.3339
As 1.5980 0.0000 4.2521
```

Calculated values
symmetry: Pmmm, No. 47
energy of formation from the pure elements: -0.671 eV per atom

This record from the Alexandria database describes a crystal of Zn3Co2 relaxed with PBEsol. The functional is meta-GGA SCAN.

```
5
Lattice="-2.9562 2.5537 0.7284 -0.3704 -3.8172 1.0402 1.9102 0.9856 4.2971" Properties=species:S:1:pos:R:3 pbc="T T T"
Co -1.8527 0.5547 1.3757
Co 0.4363 -0.8326 4.6900
Zn -0.8884 1.0522 3.5449
Zn 0.0000 0.0000 0.0000
Zn -0.5279 -1.3302 2.5208
```

Calculated values
symmetry: P-3m1, No. 164
energy of formation from the pure elements: 0.195 eV per atom

This record from the Alexandria database describes a crystal of YCuSb2 relaxed with PBEsol. The functional is meta-GGA SCAN.

```
4
Lattice="4.1083 0.0000 0.0000 0.0000 4.6115 0.0000 0.0000 0.0000 4.6102" Properties=species:S:1:pos:R:3 pbc="T T T"
Y 2.0542 0.0000 2.3051
Sb 0.0000 2.3057 2.3051
Sb 0.0000 0.0000 0.0000
Cu 2.0542 2.3057 0.0000
```

Calculated values
formation energy from raw total energies: -405 meV per atom
symmetry: P4/mmm, No. 123

This record from the Alexandria database describes a crystal of Zn2As2O7 relaxed with PBEsol. The functional is meta-GGA SCAN.

```
11
Lattice="-1.7596 3.8522 -2.3072 0.6484 -3.1579 -4.2997 -4.5856 -1.5921 2.3061" Properties=species:S:1:pos:R:3 pbc="T T T"
O -0.4201 -0.5754 -2.0680
O -5.2767 -0.3225 -2.2328
O -3.5155 -0.8494 -4.4556
O -2.1812 -0.0485 0.1548
O -0.8798 1.9261 -1.1536
O -2.7965 -1.7387 -1.8036
O -2.9003 0.8409 -2.4972
As -4.0448 -1.2924 -2.8984
As -1.6519 0.3945 -1.4024
Zn -0.9520 -2.6792 -2.2799
Zn -2.9852 -2.0709 0.2863
```

Calculated values
formation energy from raw total energies: -1448 meV per atom
symmetry: C2/m, No. 12

This record from the Alexandria database describes a crystal of CrAuSeN2 relaxed with PBEsol. The functional is meta-GGA SCAN.

```
5
Lattice="3.7285 0.0000 0.0000 0.0000 3.7285 0.0000 0.0000 0.0000 7.1268" Properties=species:S:1:pos:R:3 pbc="T T T"
N 1.8643 0.0000 0.0000
N 0.0000 1.8643 0.0000
Se 0.0000 0.0000 3.5634
Au 0.0000 0.0000 0.0000
Cr 1.8643 1.8643 3.5634
```

Calculated values
formation energy from raw total energies: 1333 meV per atom
symmetry: P4/mmm, No. 123

This record from the Alexandria database describes a crystal of RbScN2O relaxed with PBEsol. The functional is meta-GGA SCAN.

```
5
Lattice="4.1479 0.0000 0.0000 0.0000 4.1190 0.0000 0.0000 0.0000 4.1190" Properties=species:S:1:pos:R:3 pbc="T T T"
O 2.0739 0.0000 0.0000
N 0.0000 2.0595 0.0000
N 0.0000 0.0000 2.0595
Rb 0.0000 0.0000 0.0000
Sc 2.0739 2.0595 2.0595
```

Calculated values
formation energy from raw total energies: 1627 meV per atom
symmetry: P4/mmm, No. 123

This record from the Alexandria database describes a crystal of BaTlPb relaxed with PBEsol. The functional is meta-GGA SCAN.

```
3
Lattice="-2.4971 3.4513 3.4449 -5.3143 1.1586 -0.6565 -3.6806 -1.8960 3.5879" Properties=species:S:1:pos:R:3 pbc="T T T"
Ba -5.7460 1.3570 3.1882
Tl 0.0000 0.0000 0.0000
Pb -2.8730 0.6785 1.5941
```

Calculated values
symmetry: F-43m, No. 216
energy of formation from the pure elements: -0.481 eV per atom

This record from the Alexandria database describes a crystal of SrLaPb4 relaxed with PBEsol. The functional is meta-GGA SCAN.

```
6
Lattice="6.4486 0.0000 0.0000 3.2243 5.5846 0.0000 3.2243 1.8615 5.2652" Properties=species:S:1:pos:R:3 pbc="T T T"
Pb 6.4486 5.5908 1.9723
Pb 4.8311 2.7892 1.9723
Pb 8.0661 2.7892 1.9723
Pb 6.4486 3.7231 4.6136
Sr 9.6728 5.5846 3.9489
La 0.0000 0.0000 0.0000
```

Calculated values
symmetry: F-43m, No. 216
energy of formation from the pure elements: -0.489 eV per atom

This record from the Alexandria database describes a crystal of BaCo2Re relaxed with PBEsol. The functional is meta-GGA SCAN.

```
4
Lattice="2.8071 0.0000 0.0000 0.0000 4.8345 0.0000 -1.4035 -2.4172 4.9504" Properties=species:S:1:pos:R:3 pbc="T T T"
Co 1.4036 0.0000 2.4776
Co 0.0000 0.0000 0.3636
Ba 0.0000 2.4172 2.4875
Re 0.0000 0.0000 4.5721
```

Calculated values
symmetry: Imm2, No. 44
energy of formation from the pure elements: 1.188 eV per atom

The evaluated spin magnetization for the records listed, in turn: 0.00 2.10 0.00 0.00 2.90 0.01 0.00 0.00 0.00 0.39 4.61 0.00 2.44 0.00 0.00 0.90 0.00 0.00 0.00 3.64 μB/f.u..